# LaReW2 | the Alexandria database | PBE | relaxed
# Calculated volume: 19.16 Å³/atom
# E: -9.776 eV/atom
data_LaReW2
_cell_length_a 3.898
_cell_length_b 3.898
_cell_length_c 5.043
_cell_angle_alpha 90.00
_cell_angle_beta 90.00
_cell_angle_gamma 90.00
_symmetry_space_group_name_H-M 'P 4/m m m'
_symmetry_Int_Tables_number 123
_symmetry_space_group_name_Hall '-P 4 2'
loop_
_atom_site_label
_atom_site_fract_x
_atom_site_fract_y
_atom_site_fract_z
_atom_site_occupancy
La1 0.000 0.000 0.000 1
Re1 0.500 0.500 0.000 1
W1 0.000 0.500 0.500 1

# Pa2Zn6Ag | the Alexandria database | PBE | relaxed
# Calculated volume: 18.63 Å³/atom
# E: -3.301 eV/atom
data_Pa2Zn6Ag
_cell_length_a 7.9968
_cell_length_b 7.9968
_cell_length_c 3.0267
_cell_angle_alpha 90.00
_cell_angle_beta 90.00
_cell_angle_gamma 120.00
_symmetry_space_group_name_H-M 'P 6/m m m'
_symmetry_Int_Tables_number 191
_symmetry_space_group_name_Hall '-P 6 2'
loop_
_atom_site_label
_atom_site_fract_x
_atom_site_fract_y
_atom_site_fract_z
_atom_site_occupancy
Pa1 0.3333 0.6667 0.0000 1
Zn1 0.0000 0.3198 0.5000 1
Ag1 0.0000 0.0000 0.0000 1

# KSr2Br2 | the Alexandria database | PBE | relaxed
# Calculated volume: 39.02 Å³/atom
# E: -2.484 eV/atom
# Formation energy from raw total energies: -0.923 eV per atom
data_KSr2Br2
_cell_length_a 9.656
_cell_length_b 9.656
_cell_length_c 4.184
_cell_angle_alpha 90.00
_cell_angle_beta 90.00
_cell_angle_gamma 90.00
_symmetry_space_group_name_H-M 'P 4/m b m'
_symmetry_Int_Tables_number 127
_symmetry_space_group_name_Hall '-P 4 2ab'
loop_
_atom_site_label
_atom_site_fract_x
_atom_site_fract_y
_atom_site_fract_z
_atom_site_occupancy
K1 0.000 0.000 0.000 1
Sr1 0.167 0.333 0.500 1
Br1 0.131 0.631 0.000 1

# Th3Ga2Ru | the Alexandria database | PBE | relaxed
# Calculated volume: 25.46 Å³/atom
# E: -6.752 eV/atom
data_Th3Ga2Ru
_cell_length_a 12.162
_cell_length_b 4.274
_cell_length_c 11.753
_cell_angle_alpha 90.00
_cell_angle_beta 90.00
_cell_angle_gamma 90.00
_symmetry_space_group_name_H-M 'P n m a'
_symmetry_Int_Tables_number 62
loop_
_symmetry_equiv_pos_as_xyz
'x,y,z'
'-x,-y,-z'
'-x+1/2,-y,z+1/2'
'x+1/2,y,-z+1/2'
'x+1/2,-y+1/2,-z+1/2'
'-x+1/2,y+1/2,z+1/2'
'-x,y+1/2,-z'
'x,-y+1/2,z'
loop_
_atom_site_label
_atom_site_fract_x
_atom_site_fract_y
_atom_site_fract_z
_atom_site_occupancy
Th1 0.045 0.250 0.129 1
Th2 0.121 0.750 0.553 1
Th3 0.231 0.250 0.793 1
Ga1 0.009 0.750 0.310 1
Ga2 0.189 0.750 0.004 1
Ru1 0.131 0.250 0.374 1

# SrTl2BiPt | the Alexandria database | PBE | relaxed
# Calculated volume: 33.02 Å³/atom
# E: -3.589 eV/atom
data_SrTl2BiPt
_cell_length_a 5.286
_cell_length_b 5.286
_cell_length_c 5.907
_cell_angle_alpha 90.00
_cell_angle_beta 90.00
_cell_angle_gamma 90.00
_symmetry_space_group_name_H-M 'P 4/m m m'
_symmetry_Int_Tables_number 123
_symmetry_space_group_name_Hall '-P 4 2'
loop_
_atom_site_label
_atom_site_fract_x
_atom_site_fract_y
_atom_site_fract_z
_atom_site_occupancy
Sr1 0.000 0.000 0.000 1
Tl1 0.000 0.500 0.500 1
Bi1 0.500 0.500 0.000 1
Pt1 0.000 0.000 0.500 1

# Ba2AlW | the Alexandria database | PBE | relaxed
# Calculated volume: 39.63 Å³/atom
# E: -4.570 eV/atom
data_Ba2AlW
_cell_length_a 7.956
_cell_length_b 4.584
_cell_length_c 9.079
_cell_angle_alpha 90.00
_cell_angle_beta 106.76
_cell_angle_gamma 90.00
_symmetry_space_group_name_H-M 'C 1 m 1'
_symmetry_Int_Tables_number 8
loop_
_symmetry_equiv_pos_as_xyz
'x,y,z'
'x,-y,z'
'x+1/2,y+1/2,z'
'x+1/2,-y+1/2,z'
loop_
_atom_site_label
_atom_site_fract_x
_atom_site_fract_y
_atom_site_fract_z
_atom_site_occupancy
Ba1 0.000 0.000 0.000 1
Ba2 0.170 0.000 0.517 1
Al1 0.418 0.000 0.258 1
W1 0.252 0.500 0.258 1

# BeCd2F6 | the Alexandria database | PBE | relaxed
# Calculated volume: 12.74 Å³/atom
# E: -4.267 eV/atom
# Formation energy from raw total energies: -2.402 eV per atom
data_BeCd2F6
_cell_length_a 4.882
_cell_length_b 4.882
_cell_length_c 9.624
_cell_angle_alpha 90.00
_cell_angle_beta 90.00
_cell_angle_gamma 90.00
_symmetry_space_group_name_H-M 'P 42/m n m'
_symmetry_Int_Tables_number 136
_symmetry_space_group_name_Hall '-P 4n 2n'
loop_
_atom_site_label
_atom_site_fract_x
_atom_site_fract_y
_atom_site_fract_z
_atom_site_occupancy
Be1 0.000 0.000 0.000 1
Cd1 0.000 0.000 0.335 1
F1 0.176 0.176 0.137 1
F2 0.236 0.236 0.500 1

# Cr2Ir2W | the Alexandria database | PBE | relaxed
# Calculated volume: 13.97 Å³/atom
# E: -9.998 eV/atom
data_Cr2Ir2W
_cell_length_a 7.187
_cell_length_b 7.187
_cell_length_c 2.704
_cell_angle_alpha 90.00
_cell_angle_beta 90.00
_cell_angle_gamma 90.00
_symmetry_space_group_name_H-M 'P 4/m b m'
_symmetry_Int_Tables_number 127
_symmetry_space_group_name_Hall '-P 4 2ab'
loop_
_atom_site_label
_atom_site_fract_x
_atom_site_fract_y
_atom_site_fract_z
_atom_site_occupancy
Cr1 0.116 0.384 0.000 1
Ir1 0.177 0.677 0.500 1
W1 0.000 0.000 0.000 1

# CeHo12Tm7 | the Alexandria database | PBE | relaxed
# Calculated volume: 31.33 Å³/atom
# E: -4.429 eV/atom
data_CeHo12Tm7
_cell_length_a 14.8641
_cell_length_b 14.8641
_cell_length_c 9.8242
_cell_angle_alpha 90.00
_cell_angle_beta 90.00
_cell_angle_gamma 120.00
_symmetry_space_group_name_H-M 'R -3'
_symmetry_Int_Tables_number 148
_symmetry_space_group_name_Hall '-R 3'
loop_
_atom_site_label
_atom_site_fract_x
_atom_site_fract_y
_atom_site_fract_z
_atom_site_occupancy
Ce1 0.0000 0.0000 0.0000 1
Ho1 0.0347 0.2503 0.5750 1
Ho2 0.0446 0.1934 0.2560 1
Tm1 0.0000 0.0000 0.5000 1
Tm2 0.0704 0.2455 0.9302 1

# BaLi2PaSe4 | the Alexandria database | PBE | relaxed
# Calculated volume: 29.72 Å³/atom
# E: -5.022 eV/atom
# Formation energy from raw total energies: -1.374 eV per atom
data_BaLi2PaSe4
_cell_length_a 5.910
_cell_length_b 5.910
_cell_length_c 13.614
_cell_angle_alpha 90.00
_cell_angle_beta 90.00
_cell_angle_gamma 90.00
_symmetry_space_group_name_H-M 'I -4 m 2'
_symmetry_Int_Tables_number 119
_symmetry_space_group_name_Hall 'I -4 -2'
loop_
_atom_site_label
_atom_site_fract_x
_atom_site_fract_y
_atom_site_fract_z
_atom_site_occupancy
Ba1 0.000 0.000 0.000 1
Li1 0.000 0.000 0.500 1
Li2 0.000 0.500 0.250 1
Pa1 0.000 0.500 0.750 1
Se1 0.000 0.000 0.251 1
Se2 0.000 0.500 0.545 1

# CsCr2AgIr | the Alexandria database | PBE | relaxed
# Calculated volume: 25.31 Å³/atom
# E: -3.574 eV/atom
data_CsCr2AgIr
_cell_length_a 4.711
_cell_length_b 4.711
_cell_length_c 5.702
_cell_angle_alpha 90.00
_cell_angle_beta 90.00
_cell_angle_gamma 90.00
_symmetry_space_group_name_H-M 'P 4/m m m'
_symmetry_Int_Tables_number 123
_symmetry_space_group_name_Hall '-P 4 2'
loop_
_atom_site_label
_atom_site_fract_x
_atom_site_fract_y
_atom_site_fract_z
_atom_site_occupancy
Cs1 0.000 0.000 0.000 1
Cr1 0.000 0.500 0.500 1
Ag1 0.000 0.000 0.500 1
Ir1 0.500 0.500 0.000 1

# LiDySc4S8 | the Alexandria database | PBE | relaxed
# Calculated volume: 22.68 Å³/atom
# E: -6.485 eV/atom
# Formation energy from raw total energies: -1.852 eV per atom
data_LiDySc4S8
_cell_length_a 7.5976
_cell_length_b 7.5976
_cell_length_c 19.0567
_cell_angle_alpha 90.00
_cell_angle_beta 90.00
_cell_angle_gamma 120.00
_symmetry_space_group_name_H-M 'R 3 m'
_symmetry_Int_Tables_number 160
_symmetry_space_group_name_Hall 'R 3 -2"'
loop_
_atom_site_label
_atom_site_fract_x
_atom_site_fract_y
_atom_site_fract_z
_atom_site_occupancy
Li1 0.0000 0.0000 0.0000 1
Dy1 0.0000 0.0000 0.3706 1
Sc1 0.0000 0.0000 0.7469 1
Sc2 0.0152 0.5076 0.8759 1
S1 0.0000 0.0000 0.1326 1
S2 0.0000 0.0000 0.6155 1
S3 0.0119 0.5059 0.1301 1
S4 0.1731 0.3461 0.9504 1

> Which value of E does entry 8 give?

-9.998 eV/atom

> What is the calculated volume in the tenth record?

29.72 Å³/atom

> E of number 6 (Ba2AlW)?

-4.570 eV/atom

> Look up the calculated volume of the seventh one.

12.74 Å³/atom